The following is a DFT calculation (PBEsol) of an optimized crystal structure of LaSn4Rh2.

Structure (CIF):
```
data_LaSn4Rh2
_chemical_formula_sum 'La4 Sn16 Rh8'
_cell_length_a 18.405
_cell_length_b 4.518
_cell_length_c 7.103
_cell_angle_alpha 90.00
_cell_angle_beta 90.00
_cell_angle_gamma 90.00
_space_group_name_H-M_alt 'P 1'
_space_group_IT_number 1
loop_
_space_group_symop_operation_xyz
'x,y,z'
loop_
_atom_site_label
_atom_site_type_symbol
_atom_site_fract_x
_atom_site_fract_y
_atom_site_fract_z
La1 La 0.141 0.250 0.001
La2 La 0.359 0.750 0.501
La3 La 0.641 0.250 0.499
La4 La 0.859 0.750 0.999
Sn1 Sn 0.032 0.750 0.863
Sn2 Sn 0.068 0.250 0.480
Sn3 Sn 0.182 0.750 0.301
Sn4 Sn 0.194 0.750 0.720
Sn5 Sn 0.306 0.250 0.220
Sn6 Sn 0.318 0.250 0.801
Sn7 Sn 0.432 0.750 0.980
Sn8 Sn 0.468 0.250 0.363
Sn9 Sn 0.532 0.750 0.637
Sn10 Sn 0.568 0.250 0.020
Sn11 Sn 0.682 0.750 0.199
Sn12 Sn 0.694 0.750 0.780
Sn13 Sn 0.806 0.250 0.280
Sn14 Sn 0.818 0.250 0.699
Sn15 Sn 0.932 0.750 0.520
Sn16 Sn 0.968 0.250 0.137
Rh1 Rh 0.034 0.750 0.251
Rh2 Rh 0.213 0.250 0.515
Rh3 Rh 0.287 0.750 0.015
Rh4 Rh 0.466 0.250 0.751
Rh5 Rh 0.534 0.750 0.249
Rh6 Rh 0.713 0.250 0.985
Rh7 Rh 0.787 0.750 0.485
Rh8 Rh 0.966 0.250 0.749
```

## Properties
Crystal system   orthorhombic
Formation energy   -0.6982 eV per atom
DOS at the Fermi energy   8.38 states/eV per cell



The following is a DFT calculation (PBEsol) of an optimized crystal structure of TlHg2Au.

Structure (CIF):
```
data_TlHg2Au
_chemical_formula_sum 'Tl1 Hg2 Au1'
_cell_length_a 3.850
_cell_length_b 4.569
_cell_length_c 5.596
_cell_angle_alpha 90.00
_cell_angle_beta 106.07
_cell_angle_gamma 90.00
_space_group_name_H-M_alt 'P 1'
_space_group_IT_number 1
loop_
_space_group_symop_operation_xyz
'x,y,z'
loop_
_atom_site_label
_atom_site_type_symbol
_atom_site_fract_x
_atom_site_fract_y
_atom_site_fract_z
Tl1 Tl 0.000 0.000 0.000
Hg1 Hg 0.310 0.500 0.730
Hg2 Hg 0.690 0.500 0.270
Au1 Au 0.500 0.000 0.500
```

## Properties
Crystal system   monoclinic
ΔE to the lowest computed polymorph   0.07 eV/f.u.
Formation energy   0.0403 eV per atom
DOS at the Fermi energy   1.12 states/eV per cell



The following is a DFT calculation (PBEsol) of an optimized crystal structure of LiH3O2.

Structure (CIF):
```
data_LiH3O2
_chemical_formula_sum 'Li2 H6 O4'
_cell_length_a 5.504
_cell_length_b 5.504
_cell_length_c 3.131
_cell_angle_alpha 103.74
_cell_angle_beta 103.74
_cell_angle_gamma 96.49
_space_group_name_H-M_alt 'P 1'
_space_group_IT_number 1
loop_
_space_group_symop_operation_xyz
'x,y,z'
loop_
_atom_site_label
_atom_site_type_symbol
_atom_site_fract_x
_atom_site_fract_y
_atom_site_fract_z
Li1 Li 0.156 0.844 0.000
Li2 Li 0.844 0.156 0.000
H1 H 0.234 0.234 0.812
H2 H 0.256 0.512 0.352
H3 H 0.488 0.744 0.648
H4 H 0.512 0.256 0.352
H5 H 0.744 0.488 0.648
H6 H 0.766 0.766 0.188
O1 O 0.217 0.217 0.109
O2 O 0.295 0.705 0.500
O3 O 0.705 0.295 0.500
O4 O 0.783 0.783 0.891
```

## Properties
Crystal system   monoclinic
Energy   -5.062 eV/atom
DOS at the Fermi energy   0.00 states/eV per cell



The following is a DFT calculation (PBEsol) of an optimized crystal structure of Ge2MoOs.

Structure (CIF):
```
data_Ge2MoOs
_chemical_formula_sum 'Ge2 Mo1 Os1'
_cell_length_a 4.319
_cell_length_b 4.319
_cell_length_c 4.319
_cell_angle_alpha 60.00
_cell_angle_beta 60.00
_cell_angle_gamma 60.00
_space_group_name_H-M_alt 'P 1'
_space_group_IT_number 1
loop_
_space_group_symop_operation_xyz
'x,y,z'
loop_
_atom_site_label
_atom_site_type_symbol
_atom_site_fract_x
_atom_site_fract_y
_atom_site_fract_z
Ge1 Ge 0.250 0.250 0.250
Ge2 Ge 0.750 0.750 0.750
Mo1 Mo 0.000 0.000 0.000
Os1 Os 0.500 0.500 0.500
```

## Properties
Crystal system   cubic
Formation energy   0.0930 eV per atom
DOS at the Fermi energy   3.72 states/eV per cell



The following is a DFT calculation (PBEsol) of an optimized crystal structure of KSr3La.

Structure (CIF):
```
data_KSr3La
_chemical_formula_sum 'K1 Sr3 La1'
_cell_length_a 6.334
_cell_length_b 6.334
_cell_length_c 6.334
_cell_angle_alpha 90.00
_cell_angle_beta 90.00
_cell_angle_gamma 90.00
_space_group_name_H-M_alt 'P 1'
_space_group_IT_number 1
loop_
_space_group_symop_operation_xyz
'x,y,z'
loop_
_atom_site_label
_atom_site_type_symbol
_atom_site_fract_x
_atom_site_fract_y
_atom_site_fract_z
K1 K 0.000 0.000 0.000
Sr1 Sr 0.000 0.000 0.500
Sr2 Sr 0.000 0.500 0.000
Sr3 Sr 0.500 0.000 0.000
La1 La 0.500 0.500 0.500
```

## Properties
Crystal system   cubic
Formation energy   0.7805 eV per atom
DOS at the Fermi energy   6.97 states/eV per cell



The following is a DFT calculation (PBEsol) of an optimized crystal structure of Na3InGa.

Structure (CIF):
```
data_Na3InGa
_chemical_formula_sum 'Na3 In1 Ga1'
_cell_length_a 5.735
_cell_length_b 5.735
_cell_length_c 5.735
_cell_angle_alpha 90.00
_cell_angle_beta 90.00
_cell_angle_gamma 90.00
_space_group_name_H-M_alt 'P 1'
_space_group_IT_number 1
loop_
_space_group_symop_operation_xyz
'x,y,z'
loop_
_atom_site_label
_atom_site_type_symbol
_atom_site_fract_x
_atom_site_fract_y
_atom_site_fract_z
Na1 Na 0.000 0.000 0.500
Na2 Na 0.000 0.500 0.000
Na3 Na 0.500 0.000 0.000
In1 In 0.000 0.000 0.000
Ga1 Ga 0.500 0.500 0.500
```

## Properties
Crystal system   cubic
Formation energy   0.4284 eV per atom
DOS at the Fermi energy   3.57 states/eV per cell



The following is a DFT calculation (PBEsol) of an optimized crystal structure of Zr2CuSb.

Structure (CIF):
```
data_Zr2CuSb
_chemical_formula_sum 'Zr2 Cu1 Sb1'
_cell_length_a 3.142
_cell_length_b 3.142
_cell_length_c 7.810
_cell_angle_alpha 90.00
_cell_angle_beta 90.00
_cell_angle_gamma 90.00
_space_group_name_H-M_alt 'P 1'
_space_group_IT_number 1
loop_
_space_group_symop_operation_xyz
'x,y,z'
loop_
_atom_site_label
_atom_site_type_symbol
_atom_site_fract_x
_atom_site_fract_y
_atom_site_fract_z
Zr1 Zr 0.000 0.000 0.219
Zr2 Zr 0.000 0.000 0.781
Cu1 Cu 0.500 0.500 0.000
Sb1 Sb 0.500 0.500 0.500
```

## Properties
Crystal system   tetragonal
Formation energy from raw total energies   -0.9 eV per formula unit
DOS at the Fermi energy   3.78 states/eV per cell



The following is a DFT calculation (PBEsol) of an optimized crystal structure of TcAsCl3.

Structure (CIF):
```
data_TcAsCl3
_chemical_formula_sum 'Tc1 As1 Cl3'
_cell_length_a 5.016
_cell_length_b 5.016
_cell_length_c 5.016
_cell_angle_alpha 90.00
_cell_angle_beta 90.00
_cell_angle_gamma 90.00
_space_group_name_H-M_alt 'P 1'
_space_group_IT_number 1
loop_
_space_group_symop_operation_xyz
'x,y,z'
loop_
_atom_site_label
_atom_site_type_symbol
_atom_site_fract_x
_atom_site_fract_y
_atom_site_fract_z
Tc1 Tc 0.000 0.000 0.000
As1 As 0.500 0.500 0.500
Cl1 Cl 0.000 0.500 0.500
Cl2 Cl 0.500 0.000 0.500
Cl3 Cl 0.500 0.500 0.000
```

## Properties
Crystal system   cubic
ΔE to the lowest computed polymorph   2.14 eV/f.u.
Formation energy from raw total energies   3.9 eV per formula unit
DOS at the Fermi energy   5.74 states/eV per cell



The following is a DFT calculation (PBEsol) of an optimized crystal structure of BiPS4.

Structure (CIF):
```
data_BiPS4
_chemical_formula_sum 'Bi8 P8 S32'
_cell_length_a 12.195
_cell_length_b 12.195
_cell_length_c 12.195
_cell_angle_alpha 127.74
_cell_angle_beta 127.55
_cell_angle_gamma 77.20
_space_group_name_H-M_alt 'P 1'
_space_group_IT_number 1
loop_
_space_group_symop_operation_xyz
'x,y,z'
loop_
_atom_site_label
_atom_site_type_symbol
_atom_site_fract_x
_atom_site_fract_y
_atom_site_fract_z
Bi1 Bi 0.123 0.873 0.250
Bi2 Bi 0.126 0.376 0.750
Bi3 Bi 0.374 0.124 0.250
Bi4 Bi 0.377 0.627 0.750
Bi5 Bi 0.623 0.373 0.250
Bi6 Bi 0.626 0.876 0.750
Bi7 Bi 0.874 0.624 0.250
Bi8 Bi 0.877 0.127 0.750
P1 P 0.213 0.250 0.463
P2 P 0.250 0.286 0.036
P3 P 0.250 0.786 0.536
P4 P 0.287 0.750 0.037
P5 P 0.713 0.250 0.963
P6 P 0.750 0.214 0.464
P7 P 0.750 0.714 0.964
P8 P 0.787 0.750 0.537
S1 S 0.087 0.886 0.480
S2 S 0.090 0.666 0.933
S3 S 0.094 0.394 0.980
S4 S 0.106 0.406 0.520
S5 S 0.114 0.094 0.200
S6 S 0.156 0.089 0.923
S7 S 0.167 0.589 0.433
S8 S 0.233 0.157 0.567
S9 S 0.267 0.834 0.924
S10 S 0.333 0.766 0.423
S11 S 0.344 0.266 0.933
S12 S 0.386 0.586 0.980
S13 S 0.394 0.914 0.300
S14 S 0.406 0.386 0.299
S15 S 0.410 0.343 0.576
S16 S 0.413 0.894 0.799
S17 S 0.587 0.106 0.201
S18 S 0.590 0.657 0.424
S19 S 0.594 0.614 0.701
S20 S 0.606 0.086 0.700
S21 S 0.614 0.414 0.020
S22 S 0.656 0.734 0.067
S23 S 0.667 0.234 0.577
S24 S 0.733 0.166 0.076
S25 S 0.767 0.843 0.433
S26 S 0.833 0.411 0.567
S27 S 0.844 0.911 0.077
S28 S 0.886 0.906 0.800
S29 S 0.894 0.594 0.480
S30 S 0.906 0.606 0.020
S31 S 0.910 0.334 0.067
S32 S 0.913 0.114 0.520
```

## Properties
Crystal system   orthorhombic
Formation energy from raw total energies   -2.0 eV per formula unit



The following is a DFT calculation (PBEsol) of an optimized crystal structure of BaZn3Pt.

Structure (CIF):
```
data_BaZn3Pt
_chemical_formula_sum 'Ba2 Zn6 Pt2'
_cell_length_a 6.784
_cell_length_b 6.784
_cell_length_c 6.784
_cell_angle_alpha 124.33
_cell_angle_beta 90.80
_cell_angle_gamma 114.96
_space_group_name_H-M_alt 'P 1'
_space_group_IT_number 1
loop_
_space_group_symop_operation_xyz
'x,y,z'
loop_
_atom_site_label
_atom_site_type_symbol
_atom_site_fract_x
_atom_site_fract_y
_atom_site_fract_z
Ba1 Ba 0.342 0.092 0.250
Ba2 Ba 0.658 0.908 0.750
Zn1 Zn 0.161 0.411 0.750
Zn2 Zn 0.197 0.000 0.697
Zn3 Zn 0.197 0.500 0.197
Zn4 Zn 0.803 0.000 0.303
Zn5 Zn 0.803 0.500 0.803
Zn6 Zn 0.839 0.589 0.250
Pt1 Pt 0.000 0.500 0.500
Pt2 Pt 0.500 0.500 0.000
```

## Properties
Crystal system   orthorhombic
ΔE to the lowest computed polymorph   0.00 eV/f.u.
Formation energy   -0.4161 eV per atom
DOS at the Fermi energy   5.95 states/eV per cell



The following is a DFT calculation (PBEsol) of an optimized crystal structure of Pr3CoGe2.

Structure (CIF):
```
data_Pr3CoGe2
_chemical_formula_sum 'Pr12 Co4 Ge8'
_cell_length_a 11.876
_cell_length_b 4.209
_cell_length_c 11.410
_cell_angle_alpha 90.00
_cell_angle_beta 90.00
_cell_angle_gamma 90.00
_space_group_name_H-M_alt 'P 1'
_space_group_IT_number 1
loop_
_space_group_symop_operation_xyz
'x,y,z'
loop_
_atom_site_label
_atom_site_type_symbol
_atom_site_fract_x
_atom_site_fract_y
_atom_site_fract_z
Pr1 Pr 0.055 0.250 0.127
Pr2 Pr 0.119 0.750 0.556
Pr3 Pr 0.222 0.250 0.797
Pr4 Pr 0.278 0.750 0.297
Pr5 Pr 0.381 0.250 0.056
Pr6 Pr 0.445 0.750 0.627
Pr7 Pr 0.555 0.250 0.373
Pr8 Pr 0.619 0.750 0.944
Pr9 Pr 0.722 0.250 0.703
Pr10 Pr 0.778 0.750 0.203
Pr11 Pr 0.881 0.250 0.444
Pr12 Pr 0.945 0.750 0.873
Co1 Co 0.131 0.250 0.366
Co2 Co 0.369 0.750 0.866
Co3 Co 0.631 0.250 0.134
Co4 Co 0.869 0.750 0.634
Ge1 Ge 0.024 0.750 0.315
Ge2 Ge 0.197 0.750 0.993
Ge3 Ge 0.303 0.250 0.493
Ge4 Ge 0.476 0.250 0.815
Ge5 Ge 0.524 0.750 0.185
Ge6 Ge 0.697 0.750 0.507
Ge7 Ge 0.803 0.250 0.007
Ge8 Ge 0.976 0.250 0.685
```

## Properties
Crystal system   orthorhombic
Formation energy   -0.6605 eV per atom
DOS at the Fermi energy   12.15 states/eV per cell



The following is a DFT calculation (PBEsol) of an optimized crystal structure of TiCrO2.

Structure (CIF):
```
data_TiCrO2
_chemical_formula_sum 'Ti1 Cr1 O2'
_cell_length_a 6.068
_cell_length_b 6.068
_cell_length_c 6.068
_cell_angle_alpha 28.76
_cell_angle_beta 28.76
_cell_angle_gamma 28.76
_space_group_name_H-M_alt 'P 1'
_space_group_IT_number 1
loop_
_space_group_symop_operation_xyz
'x,y,z'
loop_
_atom_site_label
_atom_site_type_symbol
_atom_site_fract_x
_atom_site_fract_y
_atom_site_fract_z
Ti1 Ti 0.000 0.000 0.000
Cr1 Cr 0.500 0.500 0.500
O1 O 0.111 0.111 0.111
O2 O 0.889 0.889 0.889
```

## Properties
Crystal system   trigonal
ΔE to the lowest computed polymorph   0.00 eV/f.u.
Formation energy from raw total energies   -6.7 eV per formula unit
DOS at the Fermi energy   3.07 states/eV per cell